The following is a PBE+U calculation of PdWF3 after structural relaxation, from Alexandria via LeMat-Bulk.

a = 4.309 Å, b = 4.309 Å, c = 4.309 Å
α = 90.00°, β = 90.00°, γ = 90.00°
Space group Pm-3m (No. 221)
Unique sites:
Pd  0.000  0.000  0.000 [1 per cell]
W  0.500  0.500  0.500 [1 per cell]
F  0.000  0.000  0.500 [3 per cell]

Calculated values
As for the offset from the most stable computed form: 1029 meV/atom.